Crystalline La3NdInRu at its relaxed geometry, computed with PBE-GGA.

Results
* energy relative to the elements: -0.320 eV per atom
* V: 30.47 Å³/atom

```
12
Lattice="-0.968 4.419 -7.971 0.535 -2.992 -8.647 -5.597 -1.348 2.335" Properties=species:S:1:pos:R:3 pbc="T T T"
La -3.881 -0.657 -1.428
La -4.732 -2.509 -4.459
La -5.488 1.218 -4.119
La -0.541 -1.139 -10.164
La -1.297 2.588 -9.824
La -2.149 0.736 -12.855
Nd -2.712 -1.452 -7.277
Nd -3.317 1.531 -7.005
In -4.196 0.054 -9.930
In -1.833 0.025 -4.353
Ru -4.687 0.402 -14.839
Ru -1.342 -0.323 0.556
```